Density functional theory data (PBE) for crystalline HfGaI3 at its relaxed geometry.

Summary:
M_tot, μB per atom: 0.4020
ΔE_f (raw), eV/atom: 0.598

a = 5.6340 Å, b = 5.6340 Å, c = 5.6340 Å
α = 90.00°, β = 90.00°, γ = 90.00°
With the nearest neighbours (Å) after each atom.
Positions (direct):
Hf 0.5000 0.5000 0.5000  12 I 3.98
I 0.5000 0.0000 0.0000  2 Ga 2.82
I 0.0000 0.5000 0.0000  2 Ga 2.82
I 0.0000 0.0000 0.5000  2 Ga 2.82
Ga 0.0000 0.0000 0.0000  6 I 2.82

Density functional theory data (PBE) for crystalline Hf2GaI at its relaxed geometry.

Summary:
M_tot, μB per atom: 0.0006
ΔE_f (raw), eV/atom: 0.125

a = 4.9213 Å, b = 4.9213 Å, c = 4.9213 Å
α = 60.00°, β = 60.00°, γ = 60.00°
With the nearest neighbours (Å) after each atom.
Positions (direct):
I 0.5000 0.5000 0.5000  8 Hf 3.01
Ga 0.0000 0.0000 0.0000  8 Hf 3.01
Hf 0.7500 0.7500 0.7500  4 I 3.01, 4 Ga 3.01
Hf 0.2500 0.2500 0.2500  4 I 3.01, 4 Ga 3.01

Density functional theory data (PBE) for crystalline Hf2GaI8 at its relaxed geometry.

Summary:
M_tot, μB per atom: 0.0967
ΔE_f (raw), eV/atom: -0.641

a = 7.6222 Å, b = 9.3668 Å, c = 9.3668 Å
α = 74.47°, β = 84.32°, γ = 84.32°
With the nearest neighbours (Å) after each atom.
Positions (direct):
Ga 0.0000 0.0000 0.0000  6 I 3.35-3.37
I 0.7622 0.7025 0.0820  1 Hf 2.72
I 0.2011 0.3697 0.3697  1 Hf 2.69
I 0.2378 0.2975 0.9180  1 Hf 2.72
I 0.7622 0.0820 0.7025  1 Hf 2.72
I 0.7989 0.6303 0.6303  1 Hf 2.69
I 0.2378 0.9180 0.2975  1 Hf 2.72
I 0.7067 0.1888 0.1888  1 Hf 2.71
I 0.2933 0.8112 0.8112  1 Hf 2.71
Hf 0.6502 0.8034 0.8034  4 I 2.69-2.72
Hf 0.3498 0.1966 0.1966  4 I 2.69-2.72

Density functional theory data (PBE) for crystalline Hf3GaI at its relaxed geometry.

Summary:
M_tot, μB per atom: 0.0000
ΔE_f (raw), eV/atom: 0.755

a = 5.0525 Å, b = 5.0525 Å, c = 5.0525 Å
α = 90.00°, β = 90.00°, γ = 90.00°
With the nearest neighbours (Å) after each atom.
Positions (direct):
Hf 0.0000 0.0000 0.5000  2 Ga 2.53
Hf 0.0000 0.5000 0.0000  2 Ga 2.53
Hf 0.5000 0.0000 0.0000  2 Ga 2.53
I 0.5000 0.5000 0.5000  12 Hf 3.57
Ga 0.0000 0.0000 0.0000  6 Hf 2.53

Density functional theory data (PBE) for crystalline HfInGaI6 at its relaxed geometry.

Summary:
M_tot, μB per atom: 0.0000
ΔE_f (raw), eV/atom: -0.678

a = 7.9871 Å, b = 7.9871 Å, c = 14.4100 Å
α = 90.00°, β = 90.00°, γ = 120.00°
With the nearest neighbours (Å) after each atom.
Positions (direct):
I 0.6562 0.6204 0.1352  1 Hf 2.86
I 0.3438 0.9641 0.6352  1 Hf 2.86
I 0.9641 0.6204 0.3648  1 Hf 2.86
I 0.3796 0.3438 0.3648  1 Hf 2.86
I 0.3438 0.3796 0.8648  1 Hf 2.86
I 0.6204 0.6562 0.6352  1 Hf 2.86
I 0.9641 0.3438 0.1352  1 Hf 2.86
I 0.6204 0.9641 0.8648  1 Hf 2.86
I 0.6562 0.0359 0.3648  1 Hf 2.86
I 0.3796 0.0359 0.1352  1 Hf 2.86
I 0.0359 0.3796 0.6352  1 Hf 2.86
I 0.0359 0.6562 0.8648  1 Hf 2.86
Ga 0.6667 0.3333 0.7500  6 I 3.24
Ga 0.3333 0.6667 0.2500  6 I 3.24
In 0.0000 0.0000 0.0000  6 I 3.49
In 0.0000 0.0000 0.5000  6 I 3.49
Hf 0.6667 0.3333 0.2500  6 I 2.86
Hf 0.3333 0.6667 0.7500  6 I 2.86

Density functional theory data (PBE) for crystalline HfGa2IrI at its relaxed geometry.

Summary:
M_tot, μB per atom: 0.3154
ΔE_f (raw), eV/atom: 1.322

a = 5.2426 Å, b = 5.3632 Å, c = 5.2426 Å
α = 90.00°, β = 90.00°, γ = 90.00°
With the nearest neighbours (Å) after each atom.
Positions (direct):
Ga 0.0000 0.0000 0.5000  2 Hf 2.62
Ga 0.5000 0.0000 0.0000  2 Hf 2.62
I 0.0000 0.5000 0.0000  2 Hf 2.68
Hf 0.0000 0.0000 0.0000  4 Ga 2.62, 2 I 2.68
Ir 0.5000 0.5000 0.5000  4 I 3.71, 8 Ga 3.75

Density functional theory data (PBE) for crystalline LiHfGaI6 at its relaxed geometry.

Summary:
M_tot, μB per atom: 0.0000
ΔE_f (raw), eV/atom: -0.826

a = 7.5243 Å, b = 7.5243 Å, c = 14.3059 Å
α = 90.00°, β = 90.00°, γ = 120.00°
With the nearest neighbours (Å) after each atom.
Positions (direct):
I 0.3663 0.0134 0.1347  1 Hf 2.86, 1 Li 2.99
I 0.0134 0.3663 0.6347  1 Hf 2.86, 1 Li 2.99
I 0.6471 0.0134 0.3653  1 Hf 2.86, 1 Li 2.99
I 0.3529 0.9866 0.6347  1 Hf 2.86, 1 Li 2.99
I 0.6337 0.9866 0.8653  1 Hf 2.86, 1 Li 2.99
I 0.3663 0.3529 0.3653  1 Hf 2.86, 1 Li 2.99
I 0.6471 0.6337 0.1347  1 Hf 2.86, 1 Li 2.99
I 0.9866 0.6337 0.3653  1 Hf 2.86, 1 Li 2.99
I 0.3529 0.3663 0.8653  1 Hf 2.86, 1 Li 2.99
I 0.0134 0.6471 0.8653  1 Hf 2.86, 1 Li 2.99
I 0.9866 0.3529 0.1347  1 Hf 2.86, 1 Li 2.99
I 0.6337 0.6471 0.6347  1 Hf 2.86, 1 Li 2.99
Li 0.6667 0.3333 0.7500  6 I 2.99
Li 0.3333 0.6667 0.2500  6 I 2.99
Ga 0.0000 0.0000 0.5000  6 I 3.32
Ga 0.0000 0.0000 0.0000  6 I 3.32
Hf 0.3333 0.6667 0.7500  6 I 2.86
Hf 0.6667 0.3333 0.2500  6 I 2.86

Density functional theory data (PBE) for crystalline HfNbGa2I at its relaxed geometry.

Summary:
M_tot, μB per atom: 0.0000
ΔE_f (raw), eV/atom: 0.595

a = 5.1555 Å, b = 5.1687 Å, c = 5.1555 Å
α = 90.00°, β = 90.00°, γ = 90.00°
With the nearest neighbours (Å) after each atom.
Positions (direct):
Hf 0.0000 0.5000 0.0000  2 Nb 2.58
Nb 0.0000 0.0000 0.0000  4 Ga 2.58, 2 Hf 2.58
Ga 0.5000 0.0000 0.0000  2 Nb 2.58
Ga 0.0000 0.0000 0.5000  2 Nb 2.58
I 0.5000 0.5000 0.5000  4 Hf 3.65, 8 Ga 3.65

Density functional theory data (PBE) for crystalline HfGaPI2 at its relaxed geometry.

Summary:
M_tot, μB per atom: 0.0000
ΔE_f (raw), eV/atom: 0.512

a = 5.7941 Å, b = 4.9242 Å, c = 5.7941 Å
α = 90.00°, β = 90.00°, γ = 90.00°
With the nearest neighbours (Å) after each atom.
Positions (direct):
P 0.0000 0.0000 0.0000  2 Hf 2.46
Hf 0.0000 0.5000 0.0000  2 P 2.46
Ga 0.5000 0.5000 0.5000  8 I 3.80, 4 Hf 4.10
I 0.5000 0.0000 0.0000  2 P 2.90
I 0.0000 0.0000 0.5000  2 P 2.90

Density functional theory data (PBE) for crystalline HfGaPtI2 at its relaxed geometry.

Summary:
M_tot, μB per atom: 0.0000
ΔE_f (raw), eV/atom: 0.056

a = 5.7048 Å, b = 5.0926 Å, c = 5.7048 Å
α = 90.00°, β = 90.00°, γ = 90.00°
With the nearest neighbours (Å) after each atom.
Positions (direct):
Pt 0.0000 0.5000 0.0000  2 Hf 2.55
I 0.5000 0.0000 0.0000  2 Hf 2.85
I 0.0000 0.0000 0.5000  2 Hf 2.85
Hf 0.0000 0.0000 0.0000  2 Pt 2.55
Ga 0.5000 0.5000 0.5000  8 I 3.82, 4 Pt 4.03

Density functional theory data (PBE) for crystalline HfGaRu2I at its relaxed geometry.

Summary:
M_tot, μB per atom: 0.3729
ΔE_f (raw), eV/atom: 1.168

a = 4.8527 Å, b = 5.2180 Å, c = 4.8527 Å
α = 90.00°, β = 90.00°, γ = 90.00°
With the nearest neighbours (Å) after each atom.
Positions (direct):
Ru 0.5000 0.0000 0.0000  2 Hf 2.43
Ru 0.0000 0.0000 0.5000  2 Hf 2.43
Ga 0.0000 0.5000 0.0000  2 Hf 2.61
Hf 0.0000 0.0000 0.0000  4 Ru 2.43, 2 Ga 2.61
I 0.5000 0.5000 0.5000  4 Ga 3.43, 8 Ru 3.56

Density functional theory data (PBE) for crystalline HfGa2SI at its relaxed geometry.

Summary:
M_tot, μB per atom: 0.3214
ΔE_f (raw), eV/atom: 1.198

a = 5.5309 Å, b = 4.9674 Å, c = 5.5309 Å
α = 90.00°, β = 90.00°, γ = 90.00°
With the nearest neighbours (Å) after each atom.
Positions (direct):
Ga 0.0000 0.0000 0.5000  2 I 2.77
Ga 0.5000 0.0000 0.0000  2 I 2.77
I 0.0000 0.0000 0.0000  2 S 2.48, 4 Ga 2.77
S 0.0000 0.5000 0.0000  2 I 2.48
Hf 0.5000 0.5000 0.5000  8 Ga 3.72, 4 S 3.91

Density functional theory data (PBE) for crystalline HfGaSb2I at its relaxed geometry.

Summary:
M_tot, μB per atom: 0.0000
ΔE_f (raw), eV/atom: 0.744

a = 5.2466 Å, b = 5.2466 Å, c = 5.3612 Å
α = 90.00°, β = 90.00°, γ = 90.00°
With the nearest neighbours (Å) after each atom.
Positions (direct):
Ga 0.0000 0.0000 0.0000  4 Sb 2.62, 2 I 2.68
I 0.0000 0.0000 0.5000  2 Ga 2.68
Sb 0.5000 0.0000 0.0000  2 Ga 2.62
Sb 0.0000 0.5000 0.0000  2 Ga 2.62
Hf 0.5000 0.5000 0.5000  4 I 3.71, 8 Sb 3.75

Density functional theory data (PBE) for crystalline HfGaSb2I at its relaxed geometry.

Summary:
M_tot, μB per atom: 0.0000
ΔE_f (raw), eV/atom: 0.134

a = 5.5119 Å, b = 5.5119 Å, c = 5.9119 Å
α = 90.00°, β = 90.00°, γ = 90.00°
With the nearest neighbours (Å) after each atom.
Positions (direct):
Sb 0.0000 0.5000 0.0000  2 Hf 2.76
Sb 0.5000 0.0000 0.0000  2 Hf 2.76
Hf 0.0000 0.0000 0.0000  4 Sb 2.76, 2 I 2.96
Ga 0.5000 0.5000 0.5000  4 I 3.90, 8 Sb 4.04
I 0.0000 0.0000 0.5000  2 Hf 2.96

Density functional theory data (PBE) for crystalline HfGaSe2I at its relaxed geometry.

Summary:
M_tot, μB per atom: 0.1086
ΔE_f (raw), eV/atom: 0.370

a = 4.9555 Å, b = 5.2506 Å, c = 4.9555 Å
α = 90.00°, β = 90.00°, γ = 90.00°
With the nearest neighbours (Å) after each atom.
Positions (direct):
I 0.0000 0.5000 0.0000  2 Ga 2.63
Se 0.0000 0.0000 0.5000  2 Ga 2.48
Se 0.5000 0.0000 0.0000  2 Ga 2.48
Ga 0.0000 0.0000 0.0000  4 Se 2.48, 2 I 2.63
Hf 0.5000 0.5000 0.5000  4 I 3.50, 8 Se 3.61

Density functional theory data (PBE) for crystalline HfGaTe2I at its relaxed geometry.

Summary:
M_tot, μB per atom: 0.0000
ΔE_f (raw), eV/atom: -0.271

a = 5.6005 Å, b = 5.6005 Å, c = 5.7574 Å
α = 90.00°, β = 90.00°, γ = 90.00°
With the nearest neighbours (Å) after each atom.
Positions (direct):
Hf 0.0000 0.0000 0.0000  4 Te 2.80, 2 I 2.88
Te 0.0000 0.5000 0.0000  2 Hf 2.80
Te 0.5000 0.0000 0.0000  2 Hf 2.80
Ga 0.5000 0.5000 0.5000  4 I 3.96, 8 Te 4.02
I 0.0000 0.0000 0.5000  2 Hf 2.88

Density functional theory data (PBE) for crystalline HfGaTe2I at its relaxed geometry.

Summary:
M_tot, μB per atom: 0.1214
ΔE_f (raw), eV/atom: 0.522

a = 5.3591 Å, b = 5.3591 Å, c = 5.2650 Å
α = 90.00°, β = 90.00°, γ = 90.00°
With the nearest neighbours (Å) after each atom.
Positions (direct):
Te 0.5000 0.0000 0.0000  2 Ga 2.68
Te 0.0000 0.5000 0.0000  2 Ga 2.68
I 0.0000 0.0000 0.5000  2 Ga 2.63
Ga 0.0000 0.0000 0.0000  2 I 2.63, 4 Te 2.68
Hf 0.5000 0.5000 0.5000  8 Te 3.76, 4 I 3.79

Density functional theory data (PBE) for crystalline Hf2TiGaI at its relaxed geometry.

Summary:
M_tot, μB per atom: 0.0000
ΔE_f (raw), eV/atom: 0.723

a = 5.0483 Å, b = 4.9646 Å, c = 5.0483 Å
α = 90.00°, β = 90.00°, γ = 90.00°
With the nearest neighbours (Å) after each atom.
Positions (direct):
Hf 0.0000 0.0000 0.5000  2 Ti 2.52
Hf 0.5000 0.0000 0.0000  2 Ti 2.52
Ti 0.0000 0.0000 0.0000  2 Ga 2.48, 4 Hf 2.52
I 0.5000 0.5000 0.5000  8 Hf 3.54, 4 Ga 3.57
Ga 0.0000 0.5000 0.0000  2 Ti 2.48

Density functional theory data (PBE) for crystalline HfZnGa2I at its relaxed geometry.

Summary:
M_tot, μB per atom: 0.0000
ΔE_f (raw), eV/atom: 0.442

a = 5.4181 Å, b = 5.5493 Å, c = 5.4181 Å
α = 90.00°, β = 90.00°, γ = 90.00°
With the nearest neighbours (Å) after each atom.
Positions (direct):
Ga 0.5000 0.0000 0.0000  2 Hf 2.71
Ga 0.0000 0.0000 0.5000  2 Hf 2.71
Zn 0.5000 0.5000 0.5000  4 I 3.83, 8 Ga 3.88
Hf 0.0000 0.0000 0.0000  4 Ga 2.71, 2 I 2.77
I 0.0000 0.5000 0.0000  2 Hf 2.77

Density functional theory data (PBE) for crystalline Hf2InGa4 at its relaxed geometry.

Summary:
E_form, eV/f.u.: 3.47
M_tot, μB per atom: 0.0000

a = 5.0987 Å, b = 5.0987 Å, c = 7.7002 Å
α = 70.67°, β = 70.67°, γ = 90.00°
With the nearest neighbours (Å) after each atom.
Positions (direct):
Ga 0.5000 0.0000 0.0000  2 In 2.55
Ga 0.1956 0.1956 0.6087  1 In 2.66, 1 Hf 2.75
Ga 0.8044 0.8044 0.3913  1 In 2.66, 1 Hf 2.75
Ga 0.0000 0.5000 0.0000  2 In 2.55
Hf 0.6023 0.6023 0.7954  5 Ga 2.75-2.90, 1 Hf 2.78
Hf 0.3977 0.3977 0.2046  5 Ga 2.75-2.90, 1 Hf 2.78
In 0.0000 0.0000 0.0000  6 Ga 2.55-2.66

Density functional theory data (PBE) for crystalline HfIn2Ga2 at its relaxed geometry.

Summary:
E_form, eV/f.u.: 0.83
M_tot, μB per atom: 0.0000

a = 7.9279 Å, b = 7.9279 Å, c = 3.4356 Å
α = 90.00°, β = 90.00°, γ = 90.00°
With the nearest neighbours (Å) after each atom.
Positions (direct):
Ga 0.1690 0.6690 0.5000  6 In 2.80-2.96
Ga 0.6690 0.8310 0.5000  6 In 2.80-2.96
Ga 0.8310 0.3310 0.5000  6 In 2.80-2.96
Ga 0.3310 0.1690 0.5000  6 In 2.80-2.96
In 0.8666 0.6334 0.0000  6 Ga 2.80-2.96, 1 In 2.99, 2 Hf 3.09
In 0.1334 0.3666 0.0000  6 Ga 2.80-2.96, 1 In 2.99, 2 Hf 3.09
In 0.6334 0.1334 0.0000  6 Ga 2.80-2.96, 1 In 2.99, 2 Hf 3.09
In 0.3666 0.8666 0.0000  6 Ga 2.80-2.96, 1 In 2.99, 2 Hf 3.09
Hf 0.5000 0.5000 0.0000  4 In 3.09, 8 Ga 3.41, 2 Hf 3.44
Hf 0.0000 0.0000 0.0000  4 In 3.09, 8 Ga 3.41, 2 Hf 3.44

Density functional theory data (PBE) for crystalline HfInGa2 at its relaxed geometry.

Summary:
E_form, eV/f.u.: -0.86
M_tot, μB per atom: 0.0000

a = 4.0746 Å, b = 4.3331 Å, c = 4.3331 Å
α = 90.00°, β = 90.00°, γ = 90.00°
With the nearest neighbours (Å) after each atom.
Positions (direct):
Ga 0.0000 0.0000 0.5000  4 Hf 2.97, 4 In 2.97, 4 Ga 3.06
Ga 0.0000 0.5000 0.0000  4 Hf 2.97, 4 In 2.97, 4 Ga 3.06
Hf 0.5000 0.5000 0.5000  8 Ga 2.97, 4 In 3.06
In 0.5000 0.0000 0.0000  8 Ga 2.97, 4 Hf 3.06

Density functional theory data (PBE) for crystalline HfInGa2 at its relaxed geometry.

Summary:
E_form, eV/f.u.: 0.35
M_tot, μB per atom: 0.0000

a = 7.5566 Å, b = 7.5566 Å, c = 6.1081 Å
α = 51.79°, β = 51.79°, γ = 90.00°
With the nearest neighbours (Å) after each atom.
Positions (direct):
Ga 0.1310 0.6250 0.2500  2 In 2.74, 2 Hf 2.80, 2 Ga 2.96
Ga 0.8750 0.8690 0.7500  2 In 2.74, 2 Hf 2.80, 2 Ga 2.96
Ga 0.3750 0.3810 0.7500  2 In 2.74, 2 Hf 2.80, 2 Ga 2.96
Ga 0.6190 0.1250 0.2500  2 In 2.74, 2 Hf 2.80, 2 Ga 2.96
Hf 0.7500 0.2500 0.5000  4 Ga 2.80, 2 In 2.96
Hf 0.0000 0.0000 0.0000  4 Ga 2.80, 2 In 2.96
In 0.2500 0.7500 0.5000  4 Ga 2.74, 2 Hf 2.96
In 0.5000 0.5000 0.0000  4 Ga 2.74, 2 Hf 2.96

Density functional theory data (PBE) for crystalline Hf5InGa at its relaxed geometry.

Summary:
E_form, eV/f.u.: 1.18
M_tot, μB per atom: 0.0000

a = 6.0456 Å, b = 6.0456 Å, c = 10.7596 Å
α = 66.99°, β = 66.99°, γ = 75.16°
With the nearest neighbours (Å) after each atom.
Positions (direct):
Hf 0.1612 0.4169 0.2464  1 Ga 2.92, 6 Hf 2.95-3.22, 2 In 3.02-3.12
Hf 0.0817 0.9183 0.2500  2 Ga 2.76, 2 Hf 2.96, 1 In 3.01
Hf 0.8388 0.5831 0.7536  1 Ga 2.92, 6 Hf 2.95-3.22, 2 In 3.02-3.12
Hf 0.4878 0.7603 0.9999  1 Ga 2.93, 7 Hf 2.94-3.22, 1 In 3.28
Hf 0.7603 0.4878 0.4999  1 Ga 2.93, 7 Hf 2.94-3.22, 1 In 3.28
Hf 0.2397 0.5122 0.5001  1 Ga 2.93, 7 Hf 2.94-3.22, 1 In 3.28
Hf 0.5831 0.8388 0.2536  1 Ga 2.92, 6 Hf 2.95-3.22, 2 In 3.02-3.12
Hf 0.4169 0.1612 0.7464  1 Ga 2.92, 6 Hf 2.95-3.22, 2 In 3.02-3.12
Hf 0.5122 0.2397 0.0001  1 Ga 2.93, 7 Hf 2.94-3.22, 1 In 3.28
Hf 0.9183 0.0817 0.7500  2 Ga 2.76, 2 Hf 2.96, 1 In 3.01
Ga 0.0000 0.0000 0.0000  6 Hf 2.76-2.93
Ga 0.0000 0.0000 0.5000  6 Hf 2.76-2.93
In 0.3262 0.6738 0.7500  7 Hf 3.01-3.28
In 0.6738 0.3262 0.2500  7 Hf 3.01-3.28

Density functional theory data (PBE) for crystalline Hf7In2Ga2 at its relaxed geometry.

Summary:
E_form, eV/f.u.: 2.11
M_tot, μB per atom: 0.0000

a = 6.3407 Å, b = 6.5207 Å, c = 6.3407 Å
α = 89.98°, β = 103.15°, γ = 90.02°
With the nearest neighbours (Å) after each atom.
Positions (direct):
Hf 0.5002 0.7364 0.0001  2 Ga 2.63
Hf 0.4998 0.2636 0.9999  2 Ga 2.63
Hf 0.0000 0.0000 0.0000  2 Ga 2.78
Hf 0.5000 0.7432 0.5000  2 Ga 2.76, 2 In 3.01
Hf 0.9999 0.7364 0.4998  2 Ga 2.63
Hf 0.5000 0.2568 0.5000  2 Ga 2.76, 2 In 3.01
Hf 0.0001 0.2636 0.5002  2 Ga 2.63
In 0.1759 0.5000 0.1759  1 In 2.77, 6 Hf 2.98-3.01
In 0.8241 0.5000 0.8241  1 In 2.77, 6 Hf 2.98-3.01
Ga 0.2797 0.9998 0.7203  7 Hf 2.63-2.78
Ga 0.7203 0.0002 0.2797  7 Hf 2.63-2.78